Entry from Alexandria via LeMat-Bulk: a relaxed ZnAu3Cl crystal (PBE).

Lattice parameters (Å, degrees): 4.9081 4.9081 4.9081 90.00 90.00 90.00
Positions (direct):
Au (0.5000, 0.0000, 0.0000)
Au (0.0000, 0.0000, 0.5000)
Au (0.0000, 0.5000, 0.0000)
Zn (0.0000, 0.0000, 0.0000)
Cl (0.5000, 0.5000, 0.5000)

Properties
- space group = Pm-3m
- ΔE_f (raw) (meV/atom) = 500.5
- DFT total energy (Ry/atom) = -0.154
- size of the total moment (Bohr magnetons per cell) = 0.0